[1]
HoTh2Ni: relaxed, GGA-PBE.

The structure in POSCAR format:
```
HoTh2Ni
1.0
3.652 0.000 0.000
0.000 9.938 0.000
-1.824 0.000 5.859
Ho Th Ni
2 4 2
direct
0.089 0.250 0.180 Ho
0.911 0.750 0.820 Ho
0.365 0.059 0.728 Th
0.365 0.441 0.728 Th
0.635 0.559 0.272 Th
0.635 0.941 0.272 Th
0.217 0.750 0.434 Ni
0.783 0.250 0.566 Ni
```

Summary:
- Volume: 213 Å³ per cell
- Space-group type: P2_1/m (11)
- Relative energy among the computed polymorphs: 0.0 kJ/mol of formula units
- Crystal system: monoclinic

[2]
Ho5ThNi2: relaxed, GGA-PBE.

The structure in POSCAR format:
```
Ho5ThNi2
1.0
6.671 -1.837 0.000
6.671 1.837 0.000
-0.046 0.000 17.712
Ho Th Ni
10 2 4
direct
0.010 0.010 0.250 Ho
0.173 0.173 0.062 Ho
0.173 0.173 0.437 Ho
0.441 0.441 0.410 Ho
0.442 0.442 0.090 Ho
0.558 0.558 0.910 Ho
0.559 0.559 0.590 Ho
0.827 0.827 0.563 Ho
0.827 0.827 0.938 Ho
0.990 0.990 0.750 Ho
0.284 0.284 0.250 Th
0.716 0.716 0.750 Th
0.198 0.198 0.867 Ni
0.199 0.199 0.634 Ni
0.801 0.801 0.366 Ni
0.802 0.802 0.133 Ni
```

Summary:
- Volume: 434 Å³ per cell
- Space-group type: C2/m (12)
- Electronic total energy: -5.38 eV/atom
- Crystal system: monoclinic